{
  "formula": "Pm6SnAs3P2",
  "functional": "GGA-PBE",
  "state": "optimized geometry",
  "lattice_angstrom": [[-4.151, 0.408, -0.623], [-1.416, -6.814, 4.977], [1.851, 6.726, 6.350]],
  "species": ["Pm", "Pm", "Pm", "Pm", "Pm", "Pm", "P", "P", "As", "As", "As", "Sn"],
  "fractional_positions": [[0.331, 0.420, 0.662], [0.673, 0.096, 0.347], [0.327, 0.904, 0.653], [0.669, 0.580, 0.338], [0.004, 0.268, 0.008], [0.996, 0.732, 0.992], [0.168, 0.337, 0.337], [0.832, 0.663, 0.663], [0.165, 0.834, 0.329], [0.500, 0.500, 0.000], [0.835, 0.166, 0.671], [0.500, 0.000, 0.000]],
  "volume_a3_per_fu": 324.1,
  "spacegroup": "C2/m (12)",
  "mass_density_g_cm3": 6.5,
  "formation_enthalpy_0k_ev_per_fu": -16.17,
  "dos_at_fermi_per_ev_cell": 3.94
}